! Pm6Y3Er2 | Alexandria | PBE | relaxed; values from VASP
&SYSTEM
  ibrav = 0, nat = 11, ntyp = 3
/
ATOMIC_SPECIES
Pm 145.00 Pm.upf
Y 88.91 Y.upf
Er 167.26 Er.upf
ATOMIC_POSITIONS angstrom
Pm 0.000 2.395 3.987
Pm 2.395 0.000 3.987
Pm 2.395 0.000 12.747
Pm 0.000 2.395 12.747
Pm 2.395 2.395 6.524
Pm 0.000 0.000 10.210
Y 0.000 0.000 0.000
Y 2.395 2.395 9.999
Y 0.000 0.000 6.735
Er 0.000 0.000 15.220
Er 2.395 2.395 1.514
CELL_PARAMETERS angstrom
4.790 0.000 0.000
0.000 4.790 0.000
-2.395 -2.395 16.734
! Symmetry: I4/mmm (139)
! Total energy (eV/cell): -53.8
! Crystal system: tetragonal
! ΔH_f (0 K) (eV/atom): 0.29

=====

! In2GaNiPb | Alexandria | PBE | relaxed; values from VASP
&SYSTEM
  ibrav = 0, nat = 5, ntyp = 4
/
ATOMIC_SPECIES
Pb 207.20 Pb.upf
Ni 58.69 Ni.upf
Ga 69.72 Ga.upf
In 114.82 In.upf
ATOMIC_POSITIONS angstrom
Pb -3.698 -1.226 1.782
Ni 0.000 0.000 0.000
Ga -1.133 1.304 1.525
In -0.373 -2.051 1.477
In -2.193 -0.479 -1.219
CELL_PARAMETERS angstrom
-4.386 -0.959 -2.438
-0.746 -4.101 2.953
-2.265 2.608 3.049
! Symmetry: P4/mmm (123)
! Total energy (eV/cell): -17.9
! Crystal system: tetragonal
! ΔH_f (0 K) (eV/atom): 0.01

=====

Number 1: size of the total moment 0.000 μB/f.u.. Number 2: size of the total moment 0.000 μB/f.u..